{"formula": "CaNbSe2", "functional": "PBE-GGA", "state": "relaxed", "lattice_angstrom": [[1.966, 1.135, 8.475], [-1.966, 1.135, 8.475], [0.000, -2.270, 8.475]], "species": ["Ca", "Nb", "Se", "Se"], "frac_coords": [[0.000, 0.000, 0.000], [0.500, 0.500, 0.500], [0.403, 0.403, 0.403], [0.597, 0.597, 0.597]], "e_above_lowest_polymorph_mev_per_atom": 479, "raw_formation_energy_ev_per_atom": -0.43, "magnetic_moment_mub_per_cell": 1.2, "rho_kg_m3": 4258, "sg": "R-3m", "final_energy_ev_per_atom": -5.19}